[1]
The following is a PBE calculation of a relaxed La2PmSmTm2 crystal, from Alexandria.

Calculated values
Formation enthalpy at 0 K, eV per atom: 0.035
D(E_F), states/eV/f.u.: 10.52

a b c (Å): 5.803 6.368 11.067
angles (deg): 90.00 90.00 90.00
Fractional positions:
1 La 0.000 0.340 0.251
2 La 0.500 0.679 0.915
3 Sm 0.500 0.175 0.747
4 Tm 0.000 0.342 0.917
5 Tm 0.500 0.671 0.580
6 La 0.000 0.840 0.749
7 Tm 0.000 0.842 0.083
8 Sm 0.500 0.675 0.253
9 Pm 0.000 0.338 0.582
10 La 0.500 0.179 0.085
11 Tm 0.500 0.171 0.420
12 Pm 0.000 0.838 0.418



[2]
The following is a PBE calculation of a relaxed LaPmSm5Tm2 crystal, from Alexandria.

Calculated values
Formation enthalpy at 0 K, eV per atom: 0.155
D(E_F), states/eV/f.u.: 14.13

a b c (Å): 5.684 10.487 10.666
angles (deg): 90.00 90.00 105.72
Fractional positions:
1 Sm 0.281 0.562 0.312
2 Tm 0.888 0.776 0.234
3 Sm 0.983 0.967 0.525
4 Tm 0.112 0.224 0.734
5 Sm 0.522 0.044 0.238
6 Tm 0.115 0.231 0.322
7 Sm 0.611 0.222 0.526
8 La 0.417 0.835 0.447
9 Sm 0.478 0.956 0.738
10 Tm 0.885 0.769 0.822
11 La 0.583 0.165 0.947
12 Sm 0.297 0.593 0.707
13 Sm 0.703 0.407 0.207
14 Pm 0.799 0.599 0.512
15 Sm 0.017 0.033 0.025
16 Sm 0.389 0.778 0.026
17 Pm 0.201 0.401 0.012
18 Sm 0.719 0.438 0.812



[3]
The following is a PBE calculation of a relaxed LaPm6Sm3Tm2 crystal, from Alexandria.

Calculated values
Formation enthalpy at 0 K, eV per atom: 0.019
D(E_F), states/eV/f.u.: 16.90

a b c (Å): 6.285 6.285 12.034
angles (deg): 95.01 95.01 119.98
Fractional positions:
1 Pm 0.251 0.251 0.751
2 Pm 0.749 0.749 0.249
3 Sm 0.833 0.167 0.500
4 La 0.000 0.000 0.000
5 Pm 0.083 0.418 0.249
6 Sm 0.500 0.500 0.500
7 Pm 0.418 0.083 0.249
8 Sm 0.167 0.833 0.500
9 Pm 0.582 0.917 0.751
10 Pm 0.917 0.582 0.751
11 Tm 0.333 0.667 0.000
12 Tm 0.667 0.333 0.000



[4]
The following is a PBE calculation of a relaxed LaPm5SmY2 crystal, from Alexandria.

Calculated values
Formation enthalpy at 0 K, eV per atom: 0.144
D(E_F), states/eV/f.u.: 14.31

a b c (Å): 5.743 10.529 10.734
angles (deg): 90.00 90.00 105.83
Fractional positions:
1 Pm 0.521 0.043 0.240
2 Pm 0.390 0.780 0.026
3 Sm 0.797 0.594 0.510
4 Y 0.112 0.224 0.732
5 La 0.417 0.834 0.451
6 Pm 0.718 0.436 0.811
7 Y 0.116 0.233 0.324
8 Pm 0.610 0.220 0.526
9 Y 0.884 0.767 0.824
10 La 0.583 0.166 0.951
11 Pm 0.479 0.957 0.740
12 Pm 0.018 0.036 0.026
13 Pm 0.282 0.564 0.311
14 Pm 0.296 0.591 0.704
15 Pm 0.982 0.964 0.526
16 Y 0.888 0.776 0.232
17 Sm 0.203 0.406 0.010
18 Pm 0.704 0.409 0.204



[5]
The following is a PBE calculation of a relaxed La2PmSm3Y6 crystal, from Alexandria.

Calculated values
Formation enthalpy at 0 K, eV per atom: 0.012
D(E_F), states/eV/f.u.: 14.90

a b c (Å): 6.289 6.289 11.901
angles (deg): 95.04 95.04 120.00
Fractional positions:
1 Y 0.248 0.248 0.747
2 La 0.666 0.334 0.000
3 Pm 0.000 0.000 0.000
4 Sm 0.167 0.833 0.500
5 Sm 0.500 0.500 0.500
6 Y 0.417 0.084 0.252
7 Y 0.752 0.752 0.253
8 Y 0.916 0.583 0.748
9 Sm 0.833 0.167 0.500
10 La 0.334 0.666 0.000
11 Y 0.084 0.417 0.252
12 Y 0.583 0.916 0.748



[6]
The following is a PBE calculation of a relaxed LaPm6Sm3Y2 crystal, from Alexandria.

Calculated values
Formation enthalpy at 0 K, eV per atom: 0.016
D(E_F), states/eV/f.u.: 17.56

a b c (Å): 6.308 6.308 12.086
angles (deg): 95.00 95.00 119.99
Fractional positions:
1 Pm 0.750 0.750 0.251
2 Sm 0.167 0.833 0.500
3 Pm 0.250 0.250 0.749
4 Pm 0.084 0.417 0.251
5 La 0.000 0.000 0.000
6 Y 0.333 0.667 0.000
7 Y 0.667 0.333 0.000
8 Sm 0.500 0.500 0.500
9 Pm 0.417 0.084 0.251
10 Pm 0.583 0.916 0.749
11 Pm 0.916 0.583 0.749
12 Sm 0.833 0.167 0.500



[7]
The following is a PBE calculation of a relaxed La2Pm5SmY crystal, from Alexandria.

Calculated values
Formation enthalpy at 0 K, eV per atom: 0.245
D(E_F), states/eV/f.u.: 13.90

a b c (Å): 8.746 8.746 10.277
angles (deg): 115.18 115.18 90.00
Fractional positions:
1 Pm 0.138 0.077 0.715
2 Pm 0.077 0.577 0.715
3 La 0.620 0.120 0.000
4 Pm 0.638 0.138 0.715
5 La 0.120 0.380 0.000
6 Pm 0.923 0.423 0.285
7 Y 0.250 0.750 0.500
8 Pm 0.500 0.500 0.000
9 Pm 0.577 0.638 0.715
10 Pm 0.423 0.362 0.285
11 Pm 0.362 0.862 0.285
12 Sm 0.750 0.750 0.500
13 Sm 0.250 0.250 0.500
14 La 0.380 0.880 0.000
15 La 0.880 0.620 0.000
16 Y 0.750 0.250 0.500
17 Pm 0.000 0.000 0.000
18 Pm 0.862 0.923 0.285



[8]
The following is a PBE calculation of a relaxed LaPm2Sm6Y3 crystal, from Alexandria.

Calculated values
Formation enthalpy at 0 K, eV per atom: 0.017
D(E_F), states/eV/f.u.: 17.52

a b c (Å): 6.291 6.291 12.023
angles (deg): 95.00 95.00 120.01
Fractional positions:
1 Y 0.167 0.833 0.500
2 Sm 0.084 0.418 0.253
3 Sm 0.582 0.916 0.747
4 Sm 0.750 0.750 0.254
5 Y 0.500 0.500 0.500
6 Y 0.833 0.167 0.500
7 La 0.000 0.000 0.000
8 Pm 0.666 0.334 0.000
9 Sm 0.418 0.084 0.253
10 Sm 0.916 0.582 0.747
11 Sm 0.250 0.250 0.746
12 Pm 0.334 0.666 0.000



[9]
The following is a PBE calculation of a relaxed LaPmSm5Y2 crystal, from Alexandria.

Calculated values
Formation enthalpy at 0 K, eV per atom: 0.147
D(E_F), states/eV/f.u.: 14.36

a b c (Å): 5.723 10.478 10.744
angles (deg): 90.00 90.00 105.85
Fractional positions:
1 Y 0.889 0.777 0.233
2 Pm 0.796 0.593 0.510
3 Sm 0.479 0.957 0.739
4 Sm 0.704 0.408 0.205
5 Sm 0.982 0.964 0.527
6 La 0.582 0.165 0.951
7 Pm 0.204 0.407 0.010
8 Sm 0.391 0.781 0.026
9 Sm 0.282 0.565 0.310
10 Sm 0.296 0.592 0.705
11 La 0.418 0.835 0.451
12 Y 0.116 0.232 0.324
13 Sm 0.609 0.219 0.526
14 Y 0.884 0.768 0.824
15 Sm 0.521 0.043 0.239
16 Sm 0.718 0.435 0.810
17 Y 0.111 0.223 0.733
18 Sm 0.018 0.036 0.027



[10]
The following is a PBE calculation of a relaxed La4Pm2SmY2 crystal, from Alexandria.

Calculated values
Formation enthalpy at 0 K, eV per atom: 0.022
D(E_F), states/eV/f.u.: 16.26

a b c (Å): 5.221 8.227 8.168
angles (deg): 107.44 90.00 108.50
Fractional positions:
1 La 0.555 0.109 0.330
2 Y 0.333 0.665 0.000
3 La 0.445 0.891 0.670
4 Sm 0.000 0.000 0.000
5 La 0.223 0.447 0.334
6 La 0.777 0.553 0.666
7 Pm 0.112 0.223 0.669
8 Pm 0.888 0.777 0.331
9 Y 0.667 0.335 0.000



Which formula does entry 6 have? LaPm6Sm3Y2



Among the records above, which one has the lowest D(E_F)? La2PmSmTm2



D(E_F) of number 2 (LaPmSm5Tm2)? 14.13 states/eV/f.u.



The highest formation enthalpy at 0 K belongs to which entry? La2Pm5SmY